LiNdMgIr: optimized geometry, GGA-PBE.

Lattice parameters (Å, degrees): 4.843 4.843 4.843 60.00 60.00 60.00
Atoms (fractional coordinates):
Mg: 0.750 0.750 0.750
Ir: 0.500 0.500 0.500
Nd: 0.250 0.250 0.250
Li: 0.000 0.000 0.000

Calculated values
Calculated density in g/cm³: 7.60
M_tot in μB per formula unit: 0.0
Total energy in eV/atom: -4.63
Crystal system: cubic
Formation enthalpy at 0 K in meV per atom: -351

LiMgNpIr: optimized geometry, GGA-PBE.

Lattice parameters (Å, degrees): 4.728 4.728 4.728 60.00 60.00 60.00
Each line ends with the local moment (μB).
Atoms (fractional coordinates):
Np: 0.250 0.250 0.250  3.83
Mg: 0.750 0.750 0.750  0.01
Ir: 0.000 0.000 0.000  -0.14
Li: 0.500 0.500 0.500  0.07

Calculated values
Calculated density in g/cm³: 10.23
M_tot in μB per formula unit: 4.2
Total energy in eV/atom: -6.39
Crystal system: cubic
Formation enthalpy at 0 K in meV per atom: -58

Please write out number 2 again, unchanged.
LiMgNpIr: optimized geometry, GGA-PBE.

Lattice parameters (Å, degrees): 4.728 4.728 4.728 60.00 60.00 60.00
Each line ends with the local moment (μB).
Atoms (fractional coordinates):
Np: 0.250 0.250 0.250  3.83
Mg: 0.750 0.750 0.750  0.01
Ir: 0.000 0.000 0.000  -0.14
Li: 0.500 0.500 0.500  0.07

Calculated values
Calculated density in g/cm³: 10.23
M_tot in μB per formula unit: 4.2
Total energy in eV/atom: -6.39
Crystal system: cubic
Formation enthalpy at 0 K in meV per atom: -58

> What is the total energy in the second record?

-6.39 eV/atom

> What is the formula in the second record?

LiMgNpIr